# PBE Dy2Al3Ga, relaxed
# ΔH_f (0 K) in eV/atom: -0.535
data_Dy2Al3Ga
_space_group_name_H-M_alt 'P m m 2'
_space_group_IT_number 25
_space_group_name_Hall 'P 2 -2'
_cell_length_a 3.494
_cell_length_b 4.537
_cell_length_c 7.821
_cell_angle_alpha 90.00
_cell_angle_beta 90.00
_cell_angle_gamma 90.00
loop_
_atom_site_label
_atom_site_type_symbol
_atom_site_fract_x
_atom_site_fract_y
_atom_site_fract_z
_atom_site_occupancy
Dy1 Dy 0.000 0.000 0.000 1
Dy2 Dy 0.000 0.500 0.497 1
Al1 Al 0.500 0.000 0.664 1
Al2 Al 0.500 0.500 0.166 1
Al3 Al 0.500 0.500 0.831 1
Ga1 Ga 0.500 0.000 0.332 1